Entry 1:
A plane-wave DFT calculation with PBE was carried out for an optimized crystal structure of Pm12CrSi7.

Structure (POSCAR):
```
Pm12CrSi7
1.0
7.348 4.243 2.965
-7.348 4.243 2.965
0.000 -8.485 2.965
Pm Cr Si
12 1 7
Cartesian
-1.619 -1.646 2.442
-3.895 1.017 3.090
1.067 -3.881 3.090
-0.616 2.226 2.442
-2.828 -2.864 5.806
2.235 -0.579 2.442
-2.235 0.579 6.454
2.828 2.864 3.090
0.616 -2.226 6.454
-1.067 3.881 5.806
3.895 -1.017 5.806
1.619 1.646 6.454
0.000 0.000 0.000
-6.711 1.966 3.598
-5.058 -4.829 5.297
1.653 -6.795 3.598
0.000 0.000 4.448
-1.653 6.795 5.297
5.058 4.829 3.598
6.711 -1.966 5.297
```

Output
total energy = -111.85 eV for the cell shown
total moment = 2.83 μB/f.u.
ΔE_f (raw) = -0.363 eV per atom

=====

Entry 2:
A plane-wave DFT calculation with PBE was carried out for an optimized crystal structure of PmCrTc.

Structure (POSCAR):
```
PmCrTc
1.0
-2.696 2.701 3.771
2.696 -2.701 3.771
2.696 2.701 -3.771
Pm Cr Tc
2 2 2
Cartesian
0.000 1.350 0.945
2.696 1.350 2.826
1.348 1.350 -1.885
1.348 -1.350 1.885
2.696 0.000 0.000
0.000 0.000 3.771
```

Output
E_form = 0.1964 eV/atom
total energy = -48.30 eV for the cell shown
total moment = 0.00 μB/f.u.

=====

Entry 3:
A plane-wave DFT calculation with PBE was carried out for an optimized crystal structure of PmCrTc2.

Structure (POSCAR):
```
PmCrTc2
1.0
1.482 0.856 9.040
-1.482 0.856 9.040
0.000 -1.711 9.040
Pm Cr Tc
1 1 2
Cartesian
0.000 0.000 0.000
0.000 0.000 13.561
0.000 0.000 6.326
0.000 0.000 20.796
```

Output
E_form = 0.5287 eV/atom
total energy = -32.99 eV for the cell shown
total moment = 0.00 μB/f.u.

=====

Entry 4:
A plane-wave DFT calculation with PBE was carried out for an optimized crystal structure of Pm3Cr5Te12.

Structure (POSCAR):
```
Pm3Cr5Te12
1.0
-8.521 8.521 8.521
8.521 -8.521 8.521
8.521 8.521 -8.521
Pm Cr Te
12 20 48
Cartesian
4.260 2.130 0.000
8.521 4.260 -2.130
2.130 0.000 4.260
10.651 0.000 4.260
0.000 4.260 2.130
4.260 -2.130 8.521
4.260 10.651 0.000
8.521 4.260 6.390
-2.130 8.521 4.260
6.390 8.521 4.260
0.000 4.260 10.651
4.260 6.390 8.521
0.000 0.000 0.000
4.260 4.260 -4.260
4.260 -4.260 4.260
8.521 0.000 0.000
12.781 2.130 0.000
8.521 -4.260 6.390
6.390 8.521 -4.260
6.390 0.000 4.260
4.260 6.390 0.000
8.521 4.260 2.130
-4.260 4.260 4.260
0.000 8.521 0.000
0.000 0.000 8.521
4.260 4.260 4.260
0.000 4.260 6.390
4.260 2.130 8.521
2.130 8.521 4.260
2.130 0.000 12.781
0.000 12.781 2.130
-4.260 6.390 8.521
2.517 -0.490 1.014
10.264 5.275 -4.750
8.031 -1.014 2.517
11.037 0.490 1.014
10.264 -3.246 4.750
13.271 -1.744 3.246
1.014 2.517 -0.490
11.766 3.771 -1.744
5.275 4.750 -1.744
7.506 2.517 0.490
-0.490 1.014 2.517
4.750 -1.744 5.275
8.031 7.506 -2.517
4.750 1.744 3.246
5.275 -4.750 10.264
7.506 -2.517 8.031
3.246 4.750 1.744
9.535 6.004 0.490
2.517 8.031 -1.014
4.750 10.264 -3.246
8.031 1.014 6.004
10.264 3.246 3.771
1.744 3.246 4.750
2.517 0.490 7.506
6.004 8.031 1.014
6.777 5.275 3.771
-1.744 5.275 4.750
0.490 7.506 2.517
3.771 -1.744 11.766
6.004 0.490 9.535
-1.014 2.517 8.031
5.275 3.771 6.777
1.014 11.037 0.490
3.246 13.271 -1.744
3.771 6.777 5.275
0.490 1.014 11.037
3.771 10.264 3.246
9.010 7.506 6.004
1.014 6.004 8.031
3.246 3.771 10.264
-3.246 4.750 10.264
7.506 6.004 9.010
-4.750 10.264 5.275
-1.744 11.766 3.771
-2.517 8.031 7.506
0.490 9.535 6.004
-1.744 3.246 13.271
6.004 9.010 7.506
```

Output
total energy = -440.65 eV for the cell shown
total moment = 15.00 μB/f.u.
ΔE_f (raw) = -0.505 eV per atom

=====

Entry 5:
A plane-wave DFT calculation with PBE was carried out for an optimized crystal structure of PmZn4Cr.

Structure (POSCAR):
```
PmZn4Cr
1.0
0.000 3.734 3.734
3.734 0.000 3.734
3.734 3.734 0.000
Pm Zn Cr
1 4 1
Cartesian
0.000 0.000 0.000
4.660 2.808 2.808
2.808 4.660 2.808
2.808 2.808 4.660
4.660 4.660 4.660
1.867 1.867 1.867
```

Output
E_form = -0.1101 eV/atom
total energy = -20.13 eV for the cell shown
total moment = 3.03 μB/f.u.

=====

Entry 6:
A plane-wave DFT calculation with PBE was carried out for an optimized crystal structure of Pr4Cr.

Structure (POSCAR):
```
Pr4Cr
1.0
5.494 0.000 0.000
0.000 5.494 0.000
0.000 0.000 5.494
Pr Cr
4 1
Cartesian
0.000 0.000 0.000
0.000 2.747 2.747
2.747 0.000 2.747
2.747 2.747 0.000
2.747 2.747 2.747
```

Output
E_form = 0.4363 eV/atom
total energy = -26.56 eV for the cell shown
total moment = 0.35 μB/f.u.

=====

Entry 7:
A plane-wave DFT calculation with PBE was carried out for an optimized crystal structure of Pr3Cr.

Structure (POSCAR):
```
Pr3Cr
1.0
0.000 3.928 3.928
3.928 0.000 3.928
3.928 3.928 0.000
Pr Cr
3 1
Cartesian
0.000 0.000 0.000
1.964 1.964 1.964
5.892 5.892 5.892
3.928 3.928 3.928
```

Output
E_form = 0.3686 eV/atom
total energy = -22.49 eV for the cell shown
total moment = 2.46 μB/f.u.

=====

Entry 8:
A plane-wave DFT calculation with PBE was carried out for an optimized crystal structure of Pr3Cr.

Structure (POSCAR):
```
Pr3Cr
1.0
-2.446 2.446 5.119
2.446 -2.446 5.119
2.446 2.446 -5.119
Pr Cr
3 1
Cartesian
0.000 0.000 0.000
2.446 0.000 2.560
0.000 2.446 2.560
0.000 0.000 5.119
```

Output
E_form = 0.3633 eV/atom
total energy = -22.51 eV for the cell shown
total moment = 3.45 μB/f.u.